# 1
Computed, not measured: a relaxed structure of TbY2Bi at the GGA-PBE level of DFT.

Calculated values
- crystal system = tetragonal
- ΔE_f (eV/atom) = -0.343
- uncorrected energy (Ry per atom) = -0.419
- SG = P4/mmm, No. 123
- energy above the lowest structure with this stoichiometry (meV per atom) = 75.5

Unit cell a=4.9107 b=4.9107 c=4.8222 alpha=90.00 beta=90.00 gamma=90.00
Closest atoms and distances in Å follow each position.
Atoms (fractional coordinates):
Tb 0.0000 0.0000 0.0000  8 Y 3.44, 4 Bi 3.47
Y 0.0000 0.5000 0.5000  4 Tb 3.44, 4 Bi 3.44, 4 Y 3.47
Y 0.5000 0.0000 0.5000  4 Tb 3.44, 4 Bi 3.44, 4 Y 3.47
Bi 0.5000 0.5000 0.0000  8 Y 3.44, 4 Tb 3.47

=====

# 2
Computed, not measured: a relaxed structure of TbY2Bi at the GGA-PBE level of DFT.

Calculated values
- crystal system = tetragonal
- ΔE_f (eV/atom) = -0.357
- uncorrected energy (Ry per atom) = -0.420
- SG = P4/mmm, No. 123
- energy above the lowest structure with this stoichiometry (meV per atom) = 61.5

Unit cell a=4.0749 b=4.0749 c=7.3207 alpha=90.00 beta=90.00 gamma=90.00
Closest atoms and distances in Å follow each position.
Atoms (fractional coordinates):
Tb 0.0000 0.0000 0.0000  8 Y 3.49, 2 Bi 3.66
Y 0.5000 0.5000 0.2696  4 Bi 3.34, 1 Y 3.37, 4 Tb 3.49
Y 0.5000 0.5000 0.7304  4 Bi 3.34, 1 Y 3.37, 4 Tb 3.49
Bi 0.0000 0.0000 0.5000  8 Y 3.34, 2 Tb 3.66

=====

# 3
Computed, not measured: a relaxed structure of TbYBi at the GGA-PBE level of DFT.

Calculated values
- crystal system = tetragonal
- ΔE_f (eV/atom) = -0.486
- uncorrected energy (Ry per atom) = -0.403
- SG = I4mm, No. 107

Unit cell a=4.0641 b=4.0641 c=10.8166 alpha=90.00 beta=90.00 gamma=90.00
Closest atoms and distances in Å follow each position.
Atoms (fractional coordinates):
Tb 0.0000 0.0000 0.0000  5 Bi 3.34-3.70, 5 Y 3.39-3.51
Tb 0.5000 0.5000 0.5000  5 Bi 3.34-3.70, 5 Y 3.39-3.51
Y 0.0000 0.0000 0.6861  5 Bi 3.33-3.72, 5 Tb 3.39-3.51
Y 0.5000 0.5000 0.1861  5 Bi 3.33-3.72, 5 Tb 3.39-3.51
Bi 0.0000 0.0000 0.3418  5 Y 3.33-3.72, 5 Tb 3.34-3.70
Bi 0.5000 0.5000 0.8418  5 Y 3.33-3.72, 5 Tb 3.34-3.70

=====

# 4
Computed, not measured: a relaxed structure of Tb3YBi4 at the GGA-PBE level of DFT.

Calculated values
- crystal system = orthorhombic
- ΔE_f (eV/atom) = -0.884
- uncorrected energy (Ry per atom) = -0.395
- SG = Cmmm, No. 65
- energy above the lowest structure with this stoichiometry (meV per atom) = 5.9

Unit cell a=8.9815 b=12.7008 c=4.4934 alpha=90.00 beta=90.00 gamma=90.00
Closest atoms and distances in Å follow each position.
Atoms (fractional coordinates):
Tb 0.0000 0.0000 0.0000  6 Bi 3.18
Tb 0.2500 0.2500 0.5000  6 Bi 3.18
Tb 0.2500 0.7500 0.5000  6 Bi 3.18
Tb 0.5000 0.5000 0.0000  6 Bi 3.18
Tb 0.7500 0.2500 0.5000  6 Bi 3.18
Tb 0.7500 0.7500 0.5000  6 Bi 3.18
Y 0.0000 0.5000 0.0000  6 Bi 3.17
Y 0.5000 0.0000 0.0000  6 Bi 3.17
Bi 0.0000 0.2502 0.0000  1 Y 3.17, 5 Tb 3.18
Bi 0.0000 0.7498 0.0000  1 Y 3.17, 5 Tb 3.18
Bi 0.2502 0.0000 0.5000  2 Y 3.17, 4 Tb 3.18
Bi 0.2498 0.5000 0.5000  2 Y 3.17, 4 Tb 3.18
Bi 0.5000 0.2498 0.0000  1 Y 3.17, 5 Tb 3.18
Bi 0.5000 0.7502 0.0000  1 Y 3.17, 5 Tb 3.18
Bi 0.7498 0.0000 0.5000  2 Y 3.17, 4 Tb 3.18
Bi 0.7502 0.5000 0.5000  2 Y 3.17, 4 Tb 3.18

=====

- Among the records above, which one has the lowest uncorrected energy?
  number 2

=====

- Look up the ΔE_f of the fourth one.
  -0.884 eV/atom